Here is a relaxed structure of TeP3 from Alexandria. Energies are from PBE-GGA.

Cell lengths 4.352, 3.577, 5.706 Å; angles 90.00, 108.59, 90.00 degrees
Sites, in units of the cell vectors:
1 Te 0.000 0.000 0.000
2 P 0.246 0.500 0.588
3 P 0.506 0.000 0.475
4 P 0.796 0.500 0.257

Values from the calculation:
- ΔE to the lowest computed polymorph (meV per atom) = 61
- theoretical density (g/cm³) = 4.349

---

Here is a relaxed structure of Fe2NiAg from Alexandria. Energies are from PBE-GGA.

Cell lengths 4.212, 4.212, 4.212 Å; angles 60.00, 60.00, 60.00 degrees
Sites, in units of the cell vectors:
1 Fe 0.000 0.000 0.000
2 Fe 0.250 0.250 0.250
3 Ni 0.500 0.500 0.500
4 Ag 0.750 0.750 0.750

Values from the calculation:
- ΔE to the lowest computed polymorph (meV per atom) = 125
- formation energy (eV per atom) = 0.311
- theoretical density (g/cm³) = 8.743

---

Here is a relaxed structure of PuMnFeSi from Alexandria. Energies are from PBE-GGA.

Cell lengths 5.399, 5.399, 5.399 Å; angles 42.83, 42.83, 42.83 degrees
Sites, in units of the cell vectors:
1 Pu 0.000 0.000 0.000
2 Mn 0.486 0.486 0.486
3 Fe 0.801 0.801 0.801
4 Si 0.204 0.204 0.204

Values from the calculation:
- ΔE to the lowest computed polymorph (meV per atom) = 0
- theoretical density (g/cm³) = 9.645

---

Here is a relaxed structure of NbPd2S4 from Alexandria. Energies are from PBE-GGA.

Cell lengths 6.857, 6.857, 6.857 Å; angles 137.87, 137.87, 61.10 degrees
Sites, in units of the cell vectors:
1 Nb 0.000 0.000 0.000
2 Pd 0.391 0.391 0.000
3 Pd 0.609 0.609 0.000
4 S 0.000 0.500 0.500
5 S 0.197 0.197 0.000
6 S 0.500 0.000 0.500
7 S 0.803 0.803 0.000

Values from the calculation:
- ΔE to the lowest computed polymorph (meV per atom) = 448
- theoretical density (g/cm³) = 5.022